4
Lattice="1.994 1.151 6.945 -1.994 1.151 6.945 0.000 -2.302 6.945" Properties=species:S:1:pos:R:3 comment="MgTcTe2, optimized geometry, DFT PBE" volume_a3_per_atom=23.910 space_group=R-3m e_form_raw_kj_per_mol_atoms=-3.0 magmom_total_mub_per_fu=1.53 total_energy_ev_per_cell=-18.4 density_g_cm3=6.6 pbc="T T T"
Mg 0.000 0.000 0.000
Tc 0.000 0.000 10.418
Te 0.000 0.000 5.015
Te 0.000 0.000 15.821

***

3
Lattice="4.455 0.000 0.000 -2.227 3.858 0.000 0.000 0.000 3.543" Properties=species:S:1:pos:R:3 comment="MgTcTe, optimized geometry, DFT PBE" volume_a3_per_atom=20.299 space_group=P-6m2 e_form_raw_kj_per_mol_atoms=19.4 magmom_total_mub_per_fu=0.00 total_energy_ev_per_cell=-14.5 density_g_cm3=6.8 pbc="T T T"
Mg 0.000 0.000 0.000
Tc 2.227 1.286 1.772
Te 0.000 2.572 1.772

***

4
Lattice="-1.616 2.314 6.078 1.616 -2.314 6.078 1.616 2.314 -6.078" Properties=species:S:1:pos:R:3 comment="Mg2TcTe, optimized geometry, DFT PBE" volume_a3_per_atom=22.724 space_group=Imm2 e_form_raw_kj_per_mol_atoms=6.5 magmom_total_mub_per_fu=0.97 total_energy_ev_per_cell=-16.4 density_g_cm3=5.0 pbc="T T T"
Mg 0.000 0.000 0.000
Mg 0.000 2.314 2.059
Tc 1.616 0.000 2.319
Te 0.000 0.000 4.394